(1)
A plane-wave DFT calculation with GGA-PBE was carried out for a relaxed Pr6SiSe2S3 crystal.

Calculated values
Its space-group type is C2/m (12). For the formation energy (no corrections), the calculation gives -171.44 kJ/mol of atoms.

a b c (Å): 7.299 7.299 7.252
angles (deg): 99.66 99.66 120.06
Fractional coordinates of all 12 atoms:
Pr1 0.086 0.408 0.759
Pr2 0.237 0.237 0.244
Pr3 0.408 0.086 0.759
Pr4 0.592 0.914 0.241
Pr5 0.763 0.763 0.756
Pr6 0.914 0.592 0.241
Si1 0.000 0.000 0.500
Se1 0.333 0.667 0.500
Se2 0.667 0.333 0.500
S1 0.168 0.832 0.000
S2 0.500 0.500 0.000
S3 0.832 0.168 0.000

(2)
A plane-wave DFT calculation with GGA-PBE was carried out for a relaxed Pr6Si2Se3S crystal.

Calculated values
Its space-group type is C2/m (12). For the formation energy (no corrections), the calculation gives -148.32 kJ/mol of atoms.

a b c (Å): 9.577 9.577 8.570
angles (deg): 103.61 103.61 25.70
Fractional coordinates of all 12 atoms:
Pr1 0.005 0.005 0.245
Pr2 0.331 0.331 0.423
Pr3 0.335 0.335 0.908
Pr4 0.665 0.665 0.092
Pr5 0.669 0.669 0.577
Pr6 0.995 0.995 0.755
Si1 0.166 0.166 0.331
Si2 0.834 0.834 0.669
Se1 0.166 0.166 0.835
Se2 0.500 0.500 0.500
Se3 0.834 0.834 0.165
S1 0.500 0.500 0.000

(3)
A plane-wave DFT calculation with GGA-PBE was carried out for a relaxed Pr6Si2SeS3 crystal.

Calculated values
Its space-group type is C2/m (12). For the formation energy (no corrections), the calculation gives -151.74 kJ/mol of atoms.

a b c (Å): 9.411 9.411 8.440
angles (deg): 102.48 102.48 25.90
Fractional coordinates of all 12 atoms:
Pr1 0.003 0.003 0.261
Pr2 0.330 0.330 0.910
Pr3 0.333 0.333 0.416
Pr4 0.667 0.667 0.584
Pr5 0.670 0.670 0.090
Pr6 0.997 0.997 0.739
Si1 0.166 0.166 0.333
Si2 0.834 0.834 0.667
Se1 0.500 0.500 0.000
S1 0.165 0.165 0.836
S2 0.500 0.500 0.500
S3 0.835 0.835 0.164